The following is a PBE calculation of crystalline BaTl at its relaxed geometry, from Alexandria.

a = 14.420 Å, b = 4.457 Å, c = 8.364 Å
α = 90.00°, β = 114.03°, γ = 90.00°
Sites, in units of the cell vectors:
1 Ba 0.000 0.000 0.000
2 Ba 0.025 0.000 0.543
3 Ba 0.237 0.500 0.387
4 Ba 0.500 0.500 0.000
5 Ba 0.525 0.500 0.543
6 Ba 0.737 0.000 0.387
7 Tl 0.201 0.500 0.918
8 Tl 0.302 0.000 0.743
9 Tl 0.364 0.000 0.178
10 Tl 0.701 0.000 0.918
11 Tl 0.802 0.500 0.743
12 Tl 0.864 0.500 0.178

Output
Fermi-level density of states   9.67 states/eV per cell
DFT formation energy   -28 kJ/mol of atoms
Volume   81.8 Å³/f.u.
Size of the total moment   0.00 μB per cell